1.
Material: Nd8Ga3IrBr4
Method: DFT, GGA-PBE
State: relaxed

## Properties
calculated density	6.64	g/cm3
formation energy without anion corrections	-0.92	eV per atom
SG	C2/m
calculated total energy	-77.50	eV/f.u.

Unit cell a=8.5683 b=8.5683 c=8.8921 alpha=118.87 beta=118.87 gamma=59.89
Fractional positions:
Nd  0.2304  0.7523  0.7130
Nd  0.2305  0.2305  0.7135
Nd  0.2477  0.7696  0.2870
Nd  0.2556  0.2556  0.2667
Nd  0.7444  0.7444  0.7333
Nd  0.7523  0.2304  0.7130
Nd  0.7695  0.7695  0.2865
Nd  0.7696  0.2477  0.2870
Ga  0.0000  0.5000  0.5000
Ga  0.5000  0.0000  0.5000
Ga  0.5000  0.5000  0.5000
Ir  0.0000  0.0000  0.5000
Br  0.0000  0.0000  0.0000
Br  0.0000  0.5000  0.0000
Br  0.5000  0.0000  0.0000
Br  0.5000  0.5000  0.0000


2.
Material: YBe2Os
Method: DFT, GGA-PBE
State: relaxed

## Properties
calculated density	8.08	g/cm3
E_form	399	meV per atom
polymorph energy (0 for the lowest one)	617	meV/atom
SG	I-4m2
calculated total energy	-23.55	eV/f.u.

Unit cell a=4.8628 b=4.8628 c=4.8628 alpha=132.65 beta=132.65 gamma=69.21
Fractional positions:
Y  0.0000  0.0000  0.0000
Be  0.2500  0.7500  0.5000
Be  0.5000  0.5000  0.0000
Os  0.7500  0.2500  0.5000


3.
Material: Re4PtI2
Method: DFT, GGA-PBE
State: relaxed

## Properties
calculated density	12.57	g/cm3
formation energy without anion corrections	2.40	eV per atom
SG	I4/mmm
calculated total energy	-42.16	eV/f.u.

Unit cell a=7.6104 b=7.6104 c=7.6104 alpha=143.14 beta=143.14 gamma=53.12
Fractional positions:
Re  0.0000  0.5000  0.5000
Re  0.1979  0.1979  0.0000
Re  0.5000  0.0000  0.5000
Re  0.8021  0.8021  0.0000
Pt  0.0000  0.0000  0.0000
I  0.3820  0.3820  0.0000
I  0.6180  0.6180  0.0000


4.
Material: NaMg7Zn5
Method: DFT, GGA-PBE
State: relaxed

## Properties
calculated density	3.33	g/cm3
E_form	-49	meV per atom
SG	Imm2
calculated total energy	-19.48	eV/f.u.

Unit cell a=7.4668 b=7.4668 c=7.4668 alpha=138.22 beta=97.54 gamma=97.07
Fractional positions:
Na  0.0000  0.0000  0.0000
Mg  0.1977  0.5022  0.6955
Mg  0.3376  0.3376  0.0000
Mg  0.3432  0.9942  0.3489
Mg  0.6409  0.6409  0.0000
Mg  0.6453  0.9942  0.6511
Mg  0.7724  0.2724  0.5000
Mg  0.8068  0.5022  0.3045
Zn  0.0021  0.4993  0.0041
Zn  0.0021  0.9980  0.5028
Zn  0.2207  0.7207  0.5000
Zn  0.4952  0.4993  0.4972
Zn  0.4952  0.9980  0.9959


5.
Material: Ac5CdAu4
Method: DFT, GGA-PBE
State: relaxed

## Properties
calculated density	11.01	g/cm3
E_form	-681	meV per atom
SG	P4/mmm
calculated total energy	-41.37	eV/f.u.

Unit cell a=3.9432 b=3.9432 c=19.7434 alpha=90.00 beta=90.00 gamma=90.00
Fractional positions:
Ac  0.0000  0.0000  0.0000
Ac  0.0000  0.0000  0.1968
Ac  0.0000  0.0000  0.3916
Ac  0.0000  0.0000  0.6084
Ac  0.0000  0.0000  0.8032
Cd  0.5000  0.5000  0.5000
Au  0.5000  0.5000  0.0980
Au  0.5000  0.5000  0.2969
Au  0.5000  0.5000  0.7031
Au  0.5000  0.5000  0.9020


6.
Material: Ca4HgN2
Method: DFT, GGA-PBE
State: relaxed

## Properties
calculated density	4.26	g/cm3
formation energy without anion corrections	-0.61	eV per atom
SG	Cmcm
calculated total energy	-29.26	eV/f.u.

Unit cell a=6.4494 b=6.4494 c=13.0980 alpha=90.00 beta=90.00 gamma=146.15
Fractional positions:
Ca  0.0000  0.0000  0.0000
Ca  0.0000  0.0000  0.5000
Ca  0.2536  0.7464  0.5934
Ca  0.2536  0.7464  0.9066
Ca  0.4144  0.5856  0.2500
Ca  0.5856  0.4144  0.7500
Ca  0.7464  0.2536  0.0934
Ca  0.7464  0.2536  0.4066
Hg  0.1186  0.8814  0.2500
Hg  0.8814  0.1186  0.7500
N  0.3633  0.6367  0.0647
N  0.3633  0.6367  0.4353
N  0.6367  0.3633  0.5647
N  0.6367  0.3633  0.9353


7.
Material: As2PtAu
Method: DFT, GGA-PBE
State: relaxed

## Properties
calculated density	11.68	g/cm3
E_form	42	meV per atom
polymorph energy (0 for the lowest one)	110	meV/atom
SG	Immm
calculated total energy	-18.45	eV/f.u.

Unit cell a=6.1692 b=6.1692 c=6.1692 alpha=152.34 beta=134.70 gamma=53.91
Fractional positions:
As  0.1950  0.1950  0.0000
As  0.8050  0.8050  0.0000
Pt  0.0000  0.5000  0.5000
Au  0.5000  0.0000  0.5000


8.
Material: CrMoAsRu
Method: DFT, GGA-PBE
State: relaxed

## Properties
calculated density	9.54	g/cm3
E_form	31	meV per atom
SG	F-43m
calculated total energy	-34.26	eV/f.u.

Unit cell a=4.3045 b=4.3045 c=4.3045 alpha=60.00 beta=60.00 gamma=60.00
Fractional positions:
Cr  0.0000  0.0000  0.0000
Mo  0.2500  0.2500  0.2500
As  0.5000  0.5000  0.5000
Ru  0.7500  0.7500  0.7500


9.
Material: Cs9Rb6Ag
Method: DFT, GGA-PBE
State: relaxed

## Properties
calculated density	1.92	g/cm3
E_form	19	meV per atom
SG	I4/m
calculated total energy	-16.03	eV/f.u.

Unit cell a=13.8308 b=13.8308 c=13.8308 alpha=128.65 beta=128.65 gamma=75.58
Fractional positions:
Cs  0.0000  0.0000  0.0000
Cs  0.0528  0.8574  0.5875
Cs  0.1426  0.7301  0.1954
Cs  0.2699  0.4653  0.4125
Cs  0.4653  0.0528  0.1954
Cs  0.5347  0.9472  0.8046
Cs  0.7301  0.5347  0.5875
Cs  0.8574  0.2699  0.8046
Cs  0.9472  0.1426  0.4125
Rb  0.2123  0.5909  0.8032
Rb  0.3345  0.3345  0.0000
Rb  0.4091  0.2123  0.6214
Rb  0.5909  0.7877  0.3786
Rb  0.6655  0.6655  0.0000
Rb  0.7877  0.4091  0.1968
Ag  0.5000  0.5000  0.0000


10.
Material: Sr2AcBO5
Method: DFT, GGA-PBE
State: relaxed

## Properties
calculated density	6.79	g/cm3
formation energy without anion corrections	-2.92	eV per atom
SG	I4/mcm
calculated total energy	-65.18	eV/f.u.

Unit cell a=7.1209 b=7.1209 c=7.1209 alpha=123.31 beta=123.31 gamma=84.36
Fractional positions:
Sr  0.1729  0.6729  0.8458
Sr  0.3271  0.1729  0.5000
Sr  0.6729  0.8271  0.5000
Sr  0.8271  0.3271  0.1542
Ac  0.2500  0.2500  0.0000
Ac  0.7500  0.7500  0.0000
B  0.2500  0.7500  0.5000
B  0.7500  0.2500  0.5000
O  0.0000  0.0000  0.0000
O  0.0368  0.7911  0.5000
O  0.2089  0.7089  0.2456
O  0.2911  0.5368  0.5000
O  0.4632  0.9632  0.7544
O  0.5000  0.5000  0.0000
O  0.5368  0.0368  0.2456
O  0.7089  0.4632  0.5000
O  0.7911  0.2911  0.7544
O  0.9632  0.2089  0.5000


11.
Material: Ca4FeRe
Method: DFT, GGA-PBE
State: relaxed

## Properties
calculated density	4.21	g/cm3
E_form	1433	meV per atom
SG	F-43m
calculated total energy	-20.32	eV/f.u.

Unit cell a=6.0776 b=6.0776 c=6.0776 alpha=60.00 beta=60.00 gamma=60.00
Fractional positions:
Ca  0.3757  0.3757  0.3757
Ca  0.3757  0.3757  0.8729
Ca  0.3757  0.8729  0.3757
Ca  0.8729  0.3757  0.3757
Fe  0.0000  0.0000  0.0000
Re  0.7500  0.7500  0.7500


12.
Material: MoPbS2Cl
Method: DFT, GGA-PBE
State: relaxed

## Properties
calculated density	5.41	g/cm3
formation energy without anion corrections	-0.21	eV per atom
polymorph energy (0 for the lowest one)	0	meV/atom
SG	P4/mmm
calculated total energy	-25.68	eV/f.u.

Unit cell a=4.7622 b=4.7622 c=5.4550 alpha=90.00 beta=90.00 gamma=90.00
Fractional positions:
Mo  0.0000  0.0000  0.0000
Pb  0.5000  0.5000  0.5000
S  0.0000  0.5000  0.0000
S  0.5000  0.0000  0.0000
Cl  0.0000  0.0000  0.5000


13.
Material: La2Ag3Au
Method: DFT, GGA-PBE
State: relaxed

## Properties
calculated density	8.83	g/cm3
E_form	-433	meV per atom
SG	Pmm2
calculated total energy	-24.28	eV/f.u.

Unit cell a=3.7279 b=4.8601 c=8.2840 alpha=90.00 beta=90.00 gamma=90.00
Fractional positions:
La  0.0000  0.0000  0.0000
La  0.0000  0.5000  0.4808
Ag  0.5000  0.0000  0.6608
Ag  0.5000  0.5000  0.1540
Ag  0.5000  0.5000  0.8206
Au  0.5000  0.0000  0.3234


14.
Material: Tb2Y7Ho3
Method: DFT, GGA-PBE
State: relaxed

## Properties
calculated density	6.17	g/cm3
E_form	81	meV per atom
polymorph energy (0 for the lowest one)	0	meV/atom
SG	P2/m
calculated total energy	-67.28	eV/f.u.

Unit cell a=6.3347 b=3.5157 c=17.4460 alpha=90.00 beta=96.08 gamma=90.00
Fractional positions:
Tb  0.0607  0.0000  0.1729
Tb  0.9393  0.0000  0.8271
Y  0.0000  0.5000  0.5000
Y  0.2258  0.0000  0.6685
Y  0.2554  0.0000  0.9982
Y  0.2750  0.5000  0.3345
Y  0.7250  0.5000  0.6655
Y  0.7446  0.0000  0.0018
Y  0.7742  0.0000  0.3315
Ho  0.4507  0.5000  0.8421
Ho  0.5000  0.0000  0.5000
Ho  0.5493  0.5000  0.1579


15.
Material: AgHgPbAu
Method: DFT, GGA-PBE
State: relaxed

## Properties
calculated density	13.10	g/cm3
E_form	97	meV per atom
SG	F-43m
calculated total energy	-9.75	eV/f.u.

Unit cell a=5.0364 b=5.0364 c=5.0364 alpha=60.00 beta=60.00 gamma=60.00
Fractional positions:
Ag  0.0000  0.0000  0.0000
Hg  0.2500  0.2500  0.2500
Pb  0.7500  0.7500  0.7500
Au  0.5000  0.5000  0.5000


16.
Material: CaSn2Rh2
Method: DFT, GGA-PBE
State: relaxed

## Properties
calculated density	8.16	g/cm3
E_form	-454	meV per atom
SG	P4/mbm
calculated total energy	-26.98	eV/f.u.

Unit cell a=8.0090 b=8.0090 c=3.0659 alpha=90.00 beta=90.00 gamma=90.00
Fractional positions:
Ca  0.0000  0.0000  0.0000
Ca  0.5000  0.5000  0.0000
Sn  0.1361  0.3639  0.0000
Sn  0.3639  0.8639  0.0000
Sn  0.6361  0.1361  0.0000
Sn  0.8639  0.6361  0.0000
Rh  0.1600  0.6600  0.5000
Rh  0.3400  0.1600  0.5000
Rh  0.6600  0.8400  0.5000
Rh  0.8400  0.3400  0.5000


17.
Material: TbSi2PdPt2
Method: DFT, GGA-PBE
State: relaxed

## Properties
calculated density	11.45	g/cm3
formation energy without anion corrections	-0.98	eV per atom
SG	P-3m1
calculated total energy	-38.62	eV/f.u.

Unit cell a=4.1930 b=4.1930 c=6.7764 alpha=90.00 beta=90.00 gamma=120.00
Fractional positions:
Tb  0.0000  0.0000  0.0000
Si  0.3333  0.6667  0.3142
Si  0.6667  0.3333  0.6858
Pd  0.0000  0.0000  0.5000
Pt  0.3333  0.6667  0.7129
Pt  0.6667  0.3333  0.2871


18.
Material: MgSc3Pd
Method: DFT, GGA-PBE
State: relaxed

## Properties
calculated density	3.30	g/cm3
E_form	-28	meV per atom
polymorph energy (0 for the lowest one)	278	meV/atom
SG	Pm-3m
calculated total energy	-25.92	eV/f.u.

Unit cell a=5.1121 b=5.1121 c=5.1121 alpha=90.00 beta=90.00 gamma=90.00
Fractional positions:
Mg  0.0000  0.0000  0.0000
Sc  0.0000  0.5000  0.5000
Sc  0.5000  0.0000  0.5000
Sc  0.5000  0.5000  0.0000
Pd  0.5000  0.5000  0.5000


19.
Material: KSi2RhS8
Method: DFT, GGA-PBE
State: relaxed

## Properties
calculated density	2.62	g/cm3
formation energy without anion corrections	-0.33	eV per atom
SG	P-3
calculated total energy	-56.26	eV/f.u.

Unit cell a=5.9441 b=5.9441 c=9.4129 alpha=90.00 beta=90.00 gamma=120.00
Fractional positions:
K  0.0000  0.0000  0.0000
Si  0.3333  0.6667  0.7028
Si  0.6667  0.3333  0.2972
Rh  0.0000  0.0000  0.5000
S  0.0200  0.6664  0.3712
S  0.3333  0.6667  0.9222
S  0.3336  0.3535  0.3712
S  0.3535  0.0200  0.6288
S  0.6465  0.9800  0.3712
S  0.6664  0.6465  0.6288
S  0.6667  0.3333  0.0778
S  0.9800  0.3336  0.6288


20.
Material: CaLaTl
Method: DFT, GGA-PBE
State: relaxed

## Properties
calculated density	6.17	g/cm3
E_form	-259	meV per atom
polymorph energy (0 for the lowest one)	139	meV/atom
SG	Cmcm
calculated total energy	-10.07	eV/f.u.

Unit cell a=7.2278 b=7.2278 c=5.5656 alpha=90.00 beta=90.00 gamma=134.81
Fractional positions:
Ca  0.1029  0.8971  0.7500
Ca  0.8971  0.1029  0.2500
La  0.3905  0.6095  0.7500
La  0.6095  0.3905  0.2500
Tl  0.2530  0.7470  0.2500
Tl  0.7470  0.2530  0.7500